No. 1
{"formula": "HfNiAg", "functional": "PBE", "state": "relaxed", "crystal_system": "cubic", "polymorph_energy_ev_per_fu": 1.168, "ef_ev_per_fu": 1.3, "cell": [[1.4937, -3.0405, -2.7845], [2.0876, -3.5392, 1.5315], [-1.9263, -3.9349, -0.1896]], "species": ["Ag", "Hf", "Ni"], "fractional_positions": [[0.2500, 0.2500, 0.2500], [0.0000, 0.0000, 0.0000], [0.7500, 0.7500, 0.7500]]}

***

No. 2
{"formula": "Hf2NiAg", "functional": "PBE", "state": "relaxed", "crystal_system": "cubic", "ef_ev_per_fu": 0.7, "cell": [[2.3127, 1.3352, 3.7766], [-2.3127, 1.3352, 3.7766], [0.0000, -2.6705, 3.7766]], "species": ["Ag", "Hf", "Hf", "Ni"], "fractional_positions": [[0.2500, 0.2500, 0.2500], [0.5000, 0.5000, 0.5000], [0.7500, 0.7500, 0.7500], [0.0000, 0.0000, 0.0000]]}

***

No. 3
{"formula": "HfNi2Ag", "functional": "PBE", "state": "relaxed", "crystal_system": "cubic", "ef_ev_per_fu": -0.1, "cell": [[0.0000, 3.1100, 3.1100], [3.1100, 0.0000, 3.1100], [3.1100, 3.1100, 0.0000]], "species": ["Ag", "Hf", "Ni", "Ni"], "fractional_positions": [[0.2500, 0.2500, 0.2500], [0.5000, 0.5000, 0.5000], [0.0000, 0.0000, 0.0000], [0.7500, 0.7500, 0.7500]]}

***

No. 4
{"formula": "HfNiAg", "functional": "PBE", "state": "relaxed", "crystal_system": "cubic", "polymorph_energy_ev_per_fu": 0.000, "ef_ev_per_fu": 0.1, "cell": [[0.0000, 3.0234, 3.0234], [3.0234, 0.0000, 3.0234], [3.0234, 3.0234, 0.0000]], "species": ["Ag", "Hf", "Ni"], "fractional_positions": [[0.2500, 0.2500, 0.2500], [0.7500, 0.7500, 0.7500], [0.0000, 0.0000, 0.0000]]}

***

No. 5
{"formula": "HfNiAg2", "functional": "PBE", "state": "relaxed", "crystal_system": "cubic", "ef_ev_per_fu": -0.1, "cell": [[1.6762, -4.1896, 0.5974], [1.3925, -1.3274, 4.1253], [-2.3928, -3.0989, 2.3217]], "species": ["Ag", "Ag", "Hf", "Ni"], "fractional_positions": [[0.0000, 0.0000, 0.0000], [0.7500, 0.7500, 0.7500], [0.2500, 0.2500, 0.2500], [0.5000, 0.5000, 0.5000]]}

***

No. 6
{"formula": "HfNiAg2", "functional": "PBE", "state": "relaxed", "crystal_system": "cubic", "ef_ev_per_fu": -0.1, "cell": [[0.0157, 3.1103, 3.3216], [3.9438, 1.6893, 1.5166], [1.1346, 4.3090, -0.9232]], "species": ["Ag", "Ag", "Hf", "Ni"], "fractional_positions": [[0.0000, 0.0000, 0.0000], [0.2500, 0.2500, 0.2500], [0.5000, 0.5000, 0.5000], [0.7500, 0.7500, 0.7500]]}

***

No. 7
{"formula": "HfNiAgSb", "functional": "PBE", "state": "relaxed", "crystal_system": "cubic", "final_energy_ev_per_atom": -5.6134, "cell": [[0.0000, 3.3144, 3.3144], [3.3144, 0.0000, 3.3144], [3.3144, 3.3144, 0.0000]], "species": ["Ag", "Hf", "Ni", "Sb"], "fractional_positions": [[0.5000, 0.5000, 0.5000], [0.2500, 0.2500, 0.2500], [0.7500, 0.7500, 0.7500], [0.0000, 0.0000, 0.0000]]}

***

No. 8
{"formula": "HfAgO3", "functional": "PBE", "state": "relaxed", "crystal_system": "tetragonal", "final_energy_ev_per_atom": -7.0794, "cell": [[3.3101, 0.0000, 0.0000], [0.0000, 3.3101, 0.0000], [0.0000, 0.0000, 5.6616]], "species": ["Ag", "Hf", "O", "O", "O"], "fractional_positions": [[0.5000, 0.5000, 0.1188], [0.0000, 0.0000, 0.6240], [0.5000, 0.5000, 0.4832], [0.5000, 0.0000, 0.8370], [0.0000, 0.5000, 0.8370]]}

***

No. 9
{"formula": "HfAgO3", "functional": "PBE", "state": "relaxed", "crystal_system": "tetragonal", "final_energy_ev_per_atom": -7.4510, "cell": [[4.2150, 0.0000, 0.0000], [0.0000, 4.2150, 0.0000], [0.0000, 0.0000, 4.0373]], "species": ["Ag", "Hf", "O", "O", "O"], "fractional_positions": [[0.0000, 0.0000, 0.5205], [0.5000, 0.5000, 0.7485], [0.5000, 0.5000, 0.2315], [0.5000, 0.0000, 0.6998], [0.0000, 0.5000, 0.6998]]}

***

No. 10
{"formula": "HfAgO3", "functional": "PBE", "state": "relaxed", "crystal_system": "trigonal", "final_energy_ev_per_atom": -7.4896, "cell": [[-2.7541, 4.7703, 0.0000], [2.7541, 4.7703, 0.0000], [0.0000, 3.1802, -4.9747]], "species": ["Ag", "Ag", "Hf", "Hf", "O", "O", "O", "O", "O", "O"], "fractional_positions": [[0.8585, 0.8585, 0.4246], [0.1415, 0.1415, 0.5754], [0.6510, 0.6510, 0.0470], [0.3490, 0.3490, 0.9530], [0.5446, 0.2851, 0.2248], [0.2851, 0.9454, 0.2248], [0.9454, 0.5446, 0.2248], [0.0546, 0.4554, 0.7752], [0.7149, 0.0546, 0.7752], [0.4554, 0.7149, 0.7752]]}

***

No. 11
{"formula": "HfSi2AgO7", "functional": "PBE", "state": "relaxed", "crystal_system": "monoclinic", "final_energy_ev_per_atom": -7.7520, "cell": [[0.1971, 5.4473, 0.4136], [-3.2682, -1.4250, 4.1438], [4.1367, -0.9702, 2.0554]], "species": ["Ag", "Hf", "O", "O", "O", "O", "O", "O", "O", "Si", "Si"], "fractional_positions": [[0.2973, 0.7027, 0.5000], [0.6821, 0.3179, 0.5000], [0.0700, 0.9300, 0.0000], [0.3790, 0.3820, 0.2143], [0.6702, 0.9870, 0.2499], [0.8890, 0.5957, 0.3006], [0.4043, 0.1110, 0.6994], [0.0130, 0.3298, 0.7501], [0.6180, 0.6210, 0.7857], [0.8030, 0.7863, 0.0860], [0.2137, 0.1970, 0.9140]]}

***

No. 12
{"formula": "HfTlAg3O4", "functional": "PBE", "state": "relaxed", "crystal_system": "cubic", "final_energy_ev_per_atom": -5.5260, "cell": [[-0.7534, -0.5761, 5.5767], [5.5862, 0.4001, 0.7960], [-0.4755, 5.6132, 0.5156]], "species": ["Ag", "Ag", "Ag", "Hf", "O", "O", "O", "O", "Tl"], "fractional_positions": [[0.5000, 0.5000, 0.0000], [0.5000, 0.0000, 0.5000], [0.0000, 0.5000, 0.5000], [0.5000, 0.5000, 0.5000], [0.2955, 0.2955, 0.2955], [0.7045, 0.7045, 0.2955], [0.7045, 0.2955, 0.7045], [0.2955, 0.7045, 0.7045], [0.0000, 0.0000, 0.0000]]}

***

Number 10 is which compound?
HfAgO3